The following is a GGA-PBE calculation of a relaxed structure of ScCuMo2, from Alexandria.

Values from the calculation:
* offset from the most stable computed form: 332 meV per atom
* total magnetic moment: 0.00 μB/cell
* calculated formation energy: 0.371 eV/atom
* Fermi-level density of states: 0.693 states/eV/atom

abc: 2.823 2.823 28.532
angles: 90.00 90.00 120.00
Positions (direct):
1 Sc 0.000 0.000 0.000
2 Sc 0.333 0.667 0.667
3 Sc 0.667 0.333 0.333
4 Cu 0.000 0.000 0.748
5 Cu 0.333 0.667 0.415
6 Cu 0.667 0.333 0.082
7 Mo 0.000 0.000 0.244
8 Mo 0.000 0.000 0.493
9 Mo 0.333 0.667 0.160
10 Mo 0.333 0.667 0.911
11 Mo 0.667 0.333 0.577
12 Mo 0.667 0.333 0.826